Arrangement P

Computed, not measured: a relaxed SrMo2Ru crystal at the PBE level of DFT.

Results
space group = P4/mmm (123)
M_tot = 0.00 μB/cell

Unit cell a=3.410 b=3.410 c=7.451 alpha=90.00 beta=90.00 gamma=90.00
Atoms (fractional coordinates):
Mo: 0.000 0.000 0.405
Sr: 0.500 0.500 0.750
Ru: 0.500 0.500 0.250
Mo: 0.000 0.000 0.095


Arrangement Q

Computed, not measured: a relaxed SrMo2Ru crystal at the PBE level of DFT.

Results
space group = Cm (8)
M_tot = 0.00 μB/cell

Unit cell a=5.019 b=5.019 c=6.012 alpha=75.23 beta=75.23 gamma=36.33
Atoms (fractional coordinates):
Ru: 0.529 0.529 0.400
Sr: 0.759 0.759 0.739
Mo: 0.251 0.251 0.254
Mo: 0.961 0.961 0.107


Arrangement R

Computed, not measured: a relaxed SrMo2Ru crystal at the PBE level of DFT.

Results
space group = Cmmm (65)
M_tot = 0.00 μB/cell

Unit cell a=5.678 b=5.678 c=2.719 alpha=90.00 beta=90.00 gamma=122.76
Atoms (fractional coordinates):
Sr: 0.000 0.500 0.500
Mo: 0.000 0.000 0.000
Ru: 0.500 0.000 0.500
Mo: 0.500 0.500 0.000


Arrangement S

Computed, not measured: a relaxed SrMo2Ru crystal at the PBE level of DFT.

Results
space group = P4mm (99)
M_tot = 0.00 μB/cell

Unit cell a=3.225 b=3.225 c=7.689 alpha=90.00 beta=90.00 gamma=90.00
Atoms (fractional coordinates):
Mo: 0.000 0.000 0.071
Ru: 0.000 0.000 0.433
Sr: 0.500 0.500 0.742
Mo: 0.500 0.500 0.255


arrangement S is the most stable structure; the next one sits 103 meV/atom above it.


Arrangement P

Computed, not measured: a relaxed SrMo2Ru crystal at the PBE level of DFT.

Results
space group = F-43m (216)
M_tot = 0.00 μB/cell

Unit cell a=4.673 b=4.673 c=4.673 alpha=120.01 beta=120.01 gamma=89.98
Atoms (fractional coordinates):
Mo: 0.000 0.000 0.000
Sr: 0.750 0.250 0.500
Mo: 0.250 0.750 0.500
Ru: 0.500 0.500 0.000


Arrangement Q

Computed, not measured: a relaxed SrMo2Ru crystal at the PBE level of DFT.

Results
space group = C2/m (12)
M_tot = 0.08 μB/cell

Unit cell a=5.433 b=5.631 c=2.787 alpha=81.83 beta=77.38 gamma=115.37
Atoms (fractional coordinates):
Ru: 0.000 0.500 0.500
Sr: 0.500 0.500 0.000
Mo: 0.000 0.000 0.000
Mo: 0.500 0.000 0.500


Arrangement R

Computed, not measured: a relaxed SrMo2Ru crystal at the PBE level of DFT.

Results
space group = R3m (160)
M_tot = 0.00 μB/cell

Unit cell a=9.186 b=9.186 c=9.186 alpha=19.89 beta=19.89 gamma=19.89
Atoms (fractional coordinates):
Mo: 0.250 0.250 0.250
Sr: 0.754 0.754 0.754
Ru: 0.513 0.513 0.513
Mo: 0.983 0.983 0.983


arrangement R is the most stable structure; the next one sits 121 meV/atom above it.


Arrangement P

Computed, not measured: a relaxed SrMo3Ru crystal at the PBE level of DFT.

Results
space group = Pm-3m (221)
M_tot = 2.30 μB/cell

Unit cell a=4.843 b=4.843 c=4.843 alpha=90.00 beta=90.00 gamma=90.00
Atoms (fractional coordinates):
Mo: 0.000 0.500 0.000
Mo: 0.500 0.000 0.000
Ru: 0.000 0.000 0.000
Sr: 0.500 0.500 0.500
Mo: 0.000 0.000 0.500


Arrangement Q

Computed, not measured: a relaxed SrMo3Ru crystal at the PBE level of DFT.

Results
space group = Pm-3m (221)
M_tot = 0.00 μB/cell

Unit cell a=4.640 b=4.640 c=4.640 alpha=90.00 beta=90.00 gamma=90.00
Atoms (fractional coordinates):
Mo: 0.000 0.000 0.500
Mo: 0.500 0.000 0.000
Mo: 0.000 0.500 0.000
Sr: 0.000 0.000 0.000
Ru: 0.500 0.500 0.500


arrangement P is the most stable structure; the next one sits 1971 meV/atom above it.